No. 1
Below is crystalline NaRe2P2 at its relaxed geometry, with properties calculated at the PBE level.

Properties
- spin magnetization (μB per formula unit) = 0.0
- ΔH_f (0 K) (eV/atom) = 0.0911
- symmetry = I4/mmm (139)

a b c (Å): 5.487 5.487 5.487
angles (deg): 132.70 132.70 69.12
Atoms (fractional coordinates):
Na  0.000  0.000  0.000
Re  0.370  0.370  0.000
Re  0.630  0.630  0.000
P  0.250  0.750  0.500
P  0.750  0.250  0.500

---

No. 2
Below is crystalline NaRe3P at its relaxed geometry, with properties calculated at the PBE level.

Properties
- spin magnetization (μB per formula unit) = 0.0
- ΔH_f (0 K) (eV/atom) = 1.0656
- symmetry = Pm-3m (221)
- distance to the lowest polymorph of the same formula (eV/atom) = 0.000

a b c (Å): 4.441 4.441 4.441
angles (deg): 90.00 90.00 90.00
Atoms (fractional coordinates):
Na  0.000  0.000  0.000
Re  0.000  0.500  0.500
Re  0.500  0.000  0.500
Re  0.500  0.500  0.000
P  0.500  0.500  0.500